Record 1
DFT (SCAN) results for a PBEsol-optimized structure of Mg3TeIr.

a = 4.9428 Å, b = 4.9428 Å, c = 4.9428 Å
α = 90.00°, β = 90.00°, γ = 90.00°
Closest atoms and distances in Å follow each position.
Element x y z (fractional)
Te: 0.5000 0.5000 0.5000  12 Mg 3.50
Ir: 0.0000 0.0000 0.0000  6 Mg 2.47
Mg: 0.0000 0.0000 0.5000  2 Ir 2.47
Mg: 0.0000 0.5000 0.0000  2 Ir 2.47
Mg: 0.5000 0.0000 0.0000  2 Ir 2.47

Results
Theoretical density (g/cm³): 5.40
Space group: No. 221
Uncorrected energy (hartree per atom): -0.911
Spin magnetization (μB/cell): 0.00

***

Record 2
DFT (SCAN) results for a PBEsol-optimized structure of Mg2TeIr.

a = 4.0968 Å, b = 4.0912 Å, c = 5.1696 Å
α = 113.31°, β = 113.34°, γ = 90.00°
Closest atoms and distances in Å follow each position.
Element x y z (fractional)
Mg: 0.2499 0.2499 0.4998  4 Mg 2.89, 4 Ir 2.96, 4 Te 2.96
Mg: 0.7501 0.7501 0.5002  4 Mg 2.89, 4 Ir 2.96, 4 Te 2.96
Ir: 0.0000 0.5000 0.0000  4 Te 2.89, 8 Mg 2.96
Te: 0.5000 0.0000 0.0000  4 Ir 2.89, 8 Mg 2.96

Results
Theoretical density (g/cm³): 8.52
Space group: No. 139
Uncorrected energy (hartree per atom): -1.095
Spin magnetization (μB/cell): 0.00

***

Record 3
DFT (SCAN) results for a PBEsol-optimized structure of Mg2TeIr.

a = 5.6424 Å, b = 6.0745 Å, c = 6.0745 Å
α = 77.54°, β = 62.33°, γ = 62.33°
Closest atoms and distances in Å follow each position.
Element x y z (fractional)
Ir: 0.0000 0.0000 0.0000  4 Mg 2.59, 2 Te 2.82
Ir: 0.7500 0.5000 0.5000  4 Mg 2.59, 2 Te 2.82
Mg: 0.6626 0.9624 0.4624  2 Ir 2.59, 2 Mg 2.88
Mg: 0.0874 0.0376 0.5376  2 Ir 2.59, 2 Mg 2.88
Mg: 0.3750 0.5376 0.9624  2 Ir 2.59, 2 Mg 2.88
Mg: 0.8750 0.4624 0.0376  2 Ir 2.59, 2 Mg 2.88
Te: 0.5000 0.0000 0.0000  2 Ir 2.82, 4 Mg 2.98
Te: 0.2500 0.5000 0.5000  2 Ir 2.82, 4 Mg 2.98

Results
Theoretical density (g/cm³): 7.49
Space group: No. 122
Uncorrected energy (hartree per atom): -1.087
Spin magnetization (μB/cell): 0.00

***

Which of these has the highest theoretical density?
number 2